# PBE HfReGe2, relaxed
# Energy relative to the lowest polymorph listed for this composition ... 0.0 meV per atom
# ρ ... 12939 kg/m³
# Uncorrected energy ... -7.99 eV/atom
# Calculated formation energy ... -0.078 eV per atom
data_HfReGe2
_cell_length_a 6.397
_cell_length_b 6.397
_cell_length_c 6.397
_cell_angle_alpha 90.00
_cell_angle_beta 90.00
_cell_angle_gamma 90.00
_symmetry_space_group_name_H-M 'F m -3 m'
_symmetry_Int_Tables_number 225
_symmetry_space_group_name_Hall '-F 4 2 3'
loop_
_atom_site_label
_atom_site_type_symbol
_atom_site_fract_x
_atom_site_fract_y
_atom_site_fract_z
Hf1 Hf 0.000 0.000 0.000
Re1 Re 0.000 0.000 0.500
Ge1 Ge 0.250 0.250 0.250